Record 1
The following is a PBE calculation of a geometry-optimized Rb4F structure, from Alexandria.

Cell: 6.513 6.513 6.513 Å, 90.00 90.00 90.00°
Fractional coordinates of all 5 atoms:
Rb: 0.000 0.000 0.000
Rb: 0.500 0.500 0.000
Rb: 0.500 0.000 0.500
Rb: 0.000 0.500 0.500
F: 0.500 0.500 0.500

Results
**Space group**: No. 221
**E_form (uncorrected)**: -0.9036 eV per atom

Record 2
The following is a PBE calculation of a geometry-optimized ScTa2Au structure, from Alexandria.

Cell: 3.905 3.905 10.880 Å, 79.66 79.66 90.00°
Fractional coordinates of all 8 atoms:
Au: 0.000 0.000 0.000
Au: 0.750 0.250 0.500
Ta: 0.875 0.874 0.750
Ta: 0.624 0.125 0.250
Ta: 0.375 0.376 0.750
Ta: 0.126 0.625 0.250
Sc: 0.500 0.500 0.000
Sc: 0.250 0.750 0.500

Results
**Formation energy**: 296.0 meV per atom
**Space group**: No. 122

Record 3
The following is a PBE calculation of a geometry-optimized U4ReRu structure, from Alexandria.

Cell: 6.681 5.369 7.304 Å, 111.56 106.80 90.00°
Fractional coordinates of all 12 atoms:
U: 0.698 0.711 0.171
U: 0.083 0.967 0.323
U: 0.583 0.356 0.323
U: 0.198 0.460 0.171
U: 0.417 0.644 0.677
U: 0.917 0.033 0.677
U: 0.802 0.540 0.829
U: 0.302 0.289 0.829
Ru: 0.000 0.500 0.500
Ru: 0.500 0.000 0.500
Re: 0.750 0.129 0.000
Re: 0.250 0.871 0.000

Results
**Formation energy**: -25.1 meV per atom
**Space group**: No. 15

Record 4
The following is a PBE calculation of a geometry-optimized BeNF3 structure, from Alexandria.

Cell: 5.052 4.810 12.907 Å, 84.49 90.00 90.00°
Last column: magnetic moment on the atom in μB.
Fractional coordinates of all 20 atoms:
Be: 0.414 0.319 0.264  0.01
Be: 0.086 0.319 0.764  0.01
Be: 0.586 0.681 0.736  0.01
Be: 0.914 0.681 0.236  0.01
F: 0.237 0.316 0.031  0.24
F: 0.902 0.943 0.174  0.02
F: 0.763 0.684 0.969  0.24
F: 0.828 0.488 0.752  0.02
F: 0.263 0.316 0.531  0.24
F: 0.172 0.512 0.248  0.02
F: 0.098 0.057 0.826  0.02
F: 0.598 0.943 0.674  0.02
F: 0.737 0.684 0.469  0.24
F: 0.328 0.512 0.748  0.02
F: 0.402 0.057 0.326  0.02
F: 0.672 0.488 0.252  0.02
N: 0.400 0.197 0.102  1.19
N: 0.900 0.803 0.398  1.19
N: 0.600 0.803 0.898  1.19
N: 0.100 0.197 0.602  1.19

Results
**Space group**: No. 14
**E_form (uncorrected)**: -1.3439 eV per atom

Record 5
The following is a PBE calculation of a geometry-optimized K2TaBeSe5 structure, from Alexandria.

Cell: 3.675 10.526 13.468 Å, 90.00 90.00 100.05°
Fractional coordinates of all 18 atoms:
Se: 0.716 0.431 0.148
Se: 0.911 0.823 0.539
Se: 0.284 0.569 0.648
Se: 0.698 0.397 0.880
Se: 0.478 0.956 0.326
Se: 0.089 0.177 0.039
Se: 0.522 0.044 0.826
Se: 0.340 0.679 0.992
Se: 0.660 0.321 0.492
Se: 0.302 0.603 0.380
K: 0.880 0.761 0.187
K: 0.111 0.222 0.294
K: 0.120 0.239 0.687
K: 0.889 0.778 0.794
Be: 0.408 0.815 0.445
Be: 0.592 0.185 0.945
Ta: 0.225 0.450 0.013
Ta: 0.775 0.550 0.513

Results
**Space group**: No. 36
**E_form (uncorrected)**: -0.8199 eV per atom

Record 6
The following is a PBE calculation of a geometry-optimized MgMoIr2 structure, from Alexandria.

Cell: 3.275 3.275 5.861 Å, 90.00 90.00 90.00°
Fractional coordinates of all 4 atoms:
Mg: 0.000 0.000 0.484
Ir: 0.500 0.500 0.269
Ir: 0.000 0.000 0.972
Mo: 0.500 0.500 0.775

Results
**Formation energy**: 136.0 meV per atom
**Space group**: No. 99

Record 7
The following is a PBE calculation of a geometry-optimized SrY3Tl structure, from Alexandria.

Cell: 5.705 5.705 5.705 Å, 90.00 90.00 90.00°
Fractional coordinates of all 5 atoms:
Y: 0.000 0.500 0.000
Y: 0.000 0.000 0.500
Y: 0.500 0.000 0.000
Tl: 0.500 0.500 0.500
Sr: 0.000 0.000 0.000

Results
**Formation energy**: 1072.2 meV per atom
**Space group**: No. 221

Record 8
The following is a PBE calculation of a geometry-optimized Sm2Al4IrAu3 structure, from Alexandria.

Cell: 4.304 4.304 10.640 Å, 90.00 90.00 90.00°
Fractional coordinates of all 10 atoms:
Au: 0.000 0.000 0.500
Au: 0.000 0.500 0.137
Au: 0.500 0.000 0.863
Sm: 0.000 0.500 0.744
Sm: 0.500 0.000 0.256
Ir: 0.500 0.500 0.500
Al: 0.000 0.000 0.000
Al: 0.500 0.000 0.626
Al: 0.500 0.500 0.000
Al: 0.000 0.500 0.374

Results
**Formation energy**: -746.3 meV per atom
**Space group**: No. 115

Record 9
The following is a PBE calculation of a geometry-optimized Pr8Si5As structure, from Alexandria.

Cell: 7.946 7.946 7.946 Å, 109.44 109.54 109.44°
Fractional coordinates of all 14 atoms:
Pr: 0.124 0.750 0.506
Pr: 0.626 0.381 0.876
Pr: 0.755 0.250 0.374
Pr: 0.992 0.116 0.742
Pr: 0.626 0.884 0.876
Pr: 0.494 0.619 0.245
Pr: 0.124 0.750 0.008
Pr: 0.258 0.250 0.374
Si: 0.876 0.876 0.250
Si: 0.000 0.374 0.124
Si: 0.750 0.626 0.626
Si: 0.374 0.124 0.000
Si: 0.500 0.000 0.500
As: 0.250 0.500 0.750

Results
**Space group**: No. 82
**E_form (uncorrected)**: -0.7400 eV per atom

Record 10
The following is a PBE calculation of a geometry-optimized RbYPd3 structure, from Alexandria.

Cell: 5.120 5.120 5.120 Å, 90.00 90.00 90.00°
Fractional coordinates of all 5 atoms:
Rb: 0.000 0.000 0.000
Pd: 0.000 0.000 0.500
Pd: 0.000 0.500 0.000
Pd: 0.500 0.000 0.000
Y: 0.500 0.500 0.500

Results
**Formation energy**: 971.4 meV per atom
**Space group**: No. 221

Record 11
The following is a PBE calculation of a geometry-optimized Pr2AgSb3Pd4 structure, from Alexandria.

Cell: 4.559 4.559 10.758 Å, 90.00 90.00 90.00°
Fractional coordinates of all 10 atoms:
Ag: 0.500 0.500 0.500
Sb: 0.500 0.000 0.867
Sb: 0.000 0.500 0.133
Sb: 0.000 0.000 0.500
Pr: 0.500 0.000 0.242
Pr: 0.000 0.500 0.758
Pd: 0.500 0.000 0.629
Pd: 0.000 0.500 0.371
Pd: 0.500 0.500 0.000
Pd: 0.000 0.000 0.000

Results
**Space group**: No. 115
**E_form (uncorrected)**: -0.7683 eV per atom

Record 12
The following is a PBE calculation of a geometry-optimized KMn3Se6 structure, from Alexandria.

Cell: 3.664 11.727 11.381 Å, 109.55 90.00 90.00°
Last column: magnetic moment on the atom in μB.
Fractional coordinates of all 20 atoms:
Se: 0.250 0.251 0.325  -0.09
Se: 0.250 0.666 0.140  -0.05
Se: 0.750 0.533 0.388  -0.11
Se: 0.750 0.749 0.675  -0.09
Se: 0.250 0.818 0.443  -0.16
Se: 0.750 0.182 0.557  -0.16
Se: 0.750 0.127 0.054  -0.12
Se: 0.250 0.467 0.612  -0.11
Se: 0.250 0.873 0.946  -0.12
Se: 0.750 0.967 0.254  -0.10
Se: 0.250 0.033 0.746  -0.10
Se: 0.750 0.334 0.860  -0.05
Mn: 0.750 0.353 0.471  3.33
Mn: 0.250 0.647 0.529  3.33
Mn: 0.750 0.958 0.847  3.30
Mn: 0.750 0.759 0.283  3.54
Mn: 0.250 0.042 0.153  3.30
Mn: 0.250 0.241 0.717  3.54
K: 0.750 0.617 0.887  0.00
K: 0.250 0.383 0.113  0.00

Results
**Space group**: No. 11
**E_form (uncorrected)**: -0.5530 eV per atom

Record 13
The following is a PBE calculation of a geometry-optimized LiSeBr structure, from Alexandria.

Cell: 3.867 3.867 5.672 Å, 90.00 90.00 120.00°
Last column: magnetic moment on the atom in μB.
Fractional coordinates of all 3 atoms:
Br: 0.000 0.000 0.090  0.23
Li: 0.667 0.333 0.296  0.00
Se: 0.333 0.667 0.613  1.00

Results
**Space group**: No. 156
**E_form (uncorrected)**: -0.3184 eV per atom

Record 14
The following is a PBE calculation of a geometry-optimized Tm2CoNi structure, from Alexandria.

Cell: 3.887 5.482 7.620 Å, 110.37 90.00 90.00°
Fractional coordinates of all 8 atoms:
Tm: 0.250 0.786 0.567
Tm: 0.750 0.214 0.433
Tm: 0.750 0.216 0.925
Tm: 0.250 0.784 0.075
Co: 0.250 0.364 0.717
Co: 0.750 0.636 0.283
Ni: 0.250 0.360 0.214
Ni: 0.750 0.640 0.786

Results
**Formation energy**: -370.9 meV per atom
**Space group**: No. 11

Record 15
The following is a PBE calculation of a geometry-optimized FeSiOs3 structure, from Alexandria.

Cell: 4.320 4.320 4.320 Å, 90.00 90.00 90.00°
Fractional coordinates of all 5 atoms:
Fe: 0.500 0.500 0.500
Os: 0.500 0.000 0.000
Os: 0.000 0.000 0.500
Os: 0.000 0.500 0.000
Si: 0.000 0.000 0.000

Results
**Space group**: No. 221
**E_form (uncorrected)**: 1.5465 eV per atom

Record 16
The following is a PBE calculation of a geometry-optimized CsDyGeBr6 structure, from Alexandria.

Cell: 7.368 7.368 8.118 Å, 90.01 89.99 59.99°
Fractional coordinates of all 9 atoms:
Br: 0.622 0.002 0.300
Br: 0.375 0.002 0.700
Br: 0.002 0.375 0.300
Br: 0.622 0.375 0.700
Br: 0.375 0.622 0.300
Br: 0.002 0.623 0.700
Cs: 0.000 0.000 0.000
Ge: 0.667 0.667 0.500
Dy: 0.333 0.333 0.500

Results
**Space group**: No. 149
**E_form (uncorrected)**: -1.4572 eV per atom

Record 17
The following is a PBE calculation of a geometry-optimized CuTe2W structure, from Alexandria.

Cell: 4.844 4.844 4.844 Å, 60.00 60.00 60.00°
Fractional coordinates of all 4 atoms:
Te: 0.000 0.000 0.000
Te: 0.250 0.250 0.250
Cu: 0.500 0.500 0.500
W: 0.750 0.750 0.750

Results
**Space group**: No. 216
**E_form (uncorrected)**: 1.1298 eV per atom

Record 18
The following is a PBE calculation of a geometry-optimized DyAgH structure, from Alexandria.

Cell: 7.468 7.974 7.974 Å, 120.00 90.00 90.00°
Fractional coordinates of all 24 atoms:
Ag: 0.492 0.454 0.546
Ag: 0.992 0.909 0.454
Ag: 0.492 0.454 0.909
Ag: 0.492 0.091 0.546
Ag: 0.992 0.546 0.091
Ag: 0.451 0.000 0.000
Ag: 0.951 0.000 0.000
Ag: 0.992 0.546 0.454
H: 0.363 0.329 0.164
H: 0.616 0.667 0.333
H: 0.863 0.164 0.836
H: 0.363 0.836 0.671
H: 0.116 0.333 0.667
H: 0.863 0.671 0.836
H: 0.863 0.164 0.329
H: 0.363 0.836 0.164
Dy: 0.191 0.170 0.830
Dy: 0.691 0.830 0.170
Dy: 0.691 0.339 0.170
Dy: 0.324 0.667 0.333
Dy: 0.691 0.830 0.661
Dy: 0.824 0.333 0.667
Dy: 0.191 0.661 0.830
Dy: 0.191 0.170 0.339

Results
**Space group**: No. 186

Record 19
The following is a PBE calculation of a geometry-optimized Pa2RuAu structure, from Alexandria.

Cell: 3.675 3.675 9.370 Å, 78.69 78.69 60.00°
Last column: magnetic moment on the atom in μB.
Fractional coordinates of all 4 atoms:
Au: 0.000 0.000 0.000  0.01
Pa: 0.105 0.105 0.686  0.39
Pa: 0.895 0.895 0.314  0.39
Ru: 0.500 0.500 0.500  -0.03

Results
**Formation energy**: 222.0 meV per atom
**Space group**: No. 166

Record 20
The following is a PBE calculation of a geometry-optimized CrFeAgS2 structure, from Alexandria.

Cell: 4.390 4.682 4.390 Å, 90.00 90.00 90.00°
Last column: magnetic moment on the atom in μB.
Fractional coordinates of all 5 atoms:
Cr: 0.000 0.000 0.000  -0.99
Ag: 0.500 0.500 0.500  -0.03
S: 0.000 0.000 0.500  0.04
S: 0.500 0.000 0.000  0.08
Fe: 0.000 0.500 0.000  2.90

Results
**Space group**: No. 123
**E_form (uncorrected)**: 0.5313 eV per atom

| no. | VASP energy (eV/atom) |
| --- | --- |
| 1 | -2.0519 |
| 2 | -8.0326 |
| 3 | -11.1712 |
| 4 | -4.8770 |
| 5 | -4.7307 |
| 6 | -7.4009 |
| 7 | -3.6158 |
| 8 | -5.0565 |
| 9 | -5.7400 |
| 10 | -3.6307 |
| 11 | -5.3232 |
| 12 | -5.5044 |
| 13 | -2.6755 |
| 14 | -5.8285 |
| 15 | -7.9685 |
| 16 | -3.6916 |
| 17 | -4.7033 |
| 18 | -3.8471 |
| 19 | -7.6642 |
| 20 | -5.3072 |